[1]
DFT (PBE) results for CeLuPd after structural relaxation. Values from VASP.

Structure (Quantum ESPRESSO input):
```
&SYSTEM
  ibrav = 0, nat = 3, ntyp = 3
/
ATOMIC_SPECIES
Pd 106.42 Pd.upf
Ce 140.12 Ce.upf
Lu 174.97 Lu.upf
CELL_PARAMETERS angstrom
-0.7093 -4.6603 -1.2848
3.5683 -3.2778 0.6292
-0.4255 -3.4446 3.4390
ATOMIC_POSITIONS angstrom
Pd 0.6084 -2.8457 0.6959
Ce 1.2167 -5.6914 1.3917
Lu 0.0000 0.0000 0.0000
```

The offset from the most stable computed form is 129 meV/atom. The uncorrected energy comes out at -5.558 eV per atom. As for the space-group type: F-43m, No. 216. The energy of formation from the pure elements is -0.34 eV per atom.

[2]
DFT (PBE) results for Cr2PtW after structural relaxation. Values from VASP.

Structure (Quantum ESPRESSO input):
```
&SYSTEM
  ibrav = 0, nat = 8, ntyp = 3
/
ATOMIC_SPECIES
Pt 195.08 Pt.upf
Cr 52.00 Cr.upf
W 183.84 W.upf
CELL_PARAMETERS angstrom
-1.6014 5.2450 0.0848
-2.5158 -0.8457 4.7998
2.4894 3.5459 5.0633
ATOMIC_POSITIONS angstrom
Pt 0.0000 0.0000 0.0000
Cr -1.7489 6.5043 8.0969
Cr 0.3364 4.3137 5.6037
W -1.0425 2.4499 6.1527
W -2.0586 2.1997 2.4423
Cr -1.1417 0.9857 4.2758
Cr -0.7015 4.0867 1.9192
Pt -0.5853 5.4953 3.7952
```

The offset from the most stable computed form is 1570 meV/atom. The uncorrected energy comes out at -7.998 eV per atom. As for the space-group type: I-42d, No. 122. The energy of formation from the pure elements is 1.56 eV per atom.

[3]
DFT (PBE) results for Zn2CuSi after structural relaxation. Values from VASP.

Structure (Quantum ESPRESSO input):
```
&SYSTEM
  ibrav = 0, nat = 8, ntyp = 3
/
ATOMIC_SPECIES
Si 28.09 Si.upf
Cu 63.55 Cu.upf
Zn 65.41 Zn.upf
CELL_PARAMETERS angstrom
7.1507 0.0000 0.0000
0.0000 7.1507 0.0000
3.5754 3.5754 2.4712
ATOMIC_POSITIONS angstrom
Si 3.5754 7.1507 1.2356
Cu 7.1507 3.5754 1.2356
Si 3.5754 3.5754 0.0000
Zn 8.9384 8.9314 1.8534
Cu 0.0000 0.0000 0.0000
Zn 5.3561 1.7877 0.6178
Zn 5.3630 5.3700 1.8534
Zn 1.7946 5.3630 0.6178
```

The uncorrected energy comes out at -2.698 eV per atom. Its uncorrected formation energy is 7.3 kcal/mol of atoms. As for the space-group type: I-42d, No. 122.

[4]
DFT (PBE) results for HoHCl3 after structural relaxation. Values from VASP.

Structure (Quantum ESPRESSO input):
```
&SYSTEM
  ibrav = 0, nat = 20, ntyp = 3
/
ATOMIC_SPECIES
Cl 35.45 Cl.upf
H 1.01 H.upf
Ho 164.93 Ho.upf
CELL_PARAMETERS angstrom
-6.4474 1.1179 2.8694
0.5850 -6.2215 3.7385
5.2527 2.9793 10.6419
ATOMIC_POSITIONS angstrom
Cl 2.5327 -0.4319 6.1018
H -3.1922 -2.8290 7.3576
Ho 0.0260 3.0507 12.2150
Cl -1.0994 2.5974 9.8607
H 2.5825 0.7047 9.8921
Cl -0.3994 0.4375 12.2751
H -3.0361 -3.3261 7.9023
Cl 0.2103 -1.1587 1.1666
H 2.4263 1.2018 9.3475
Cl 2.3100 -1.7277 14.4943
Cl 0.1915 -2.0511 9.8599
Cl 0.4897 -4.7217 7.3890
Cl -3.1425 -1.6924 11.1479
Cl -0.2103 -2.5618 4.9746
Ho -1.5264 -0.0156 9.9214
Ho -0.6357 -5.1750 5.0347
Ho 0.9167 -2.1087 7.3283
Cl -0.8200 -0.9656 16.0832
Cl -0.8012 -0.0732 7.3898
Cl -2.9198 -0.3967 2.7554
```

The uncorrected energy comes out at -4.503 eV per atom. As for the space-group type: P2/c, No. 13.

[5]
DFT (PBE) results for HfZr4O after structural relaxation. Values from VASP.

Structure (Quantum ESPRESSO input):
```
&SYSTEM
  ibrav = 0, nat = 12, ntyp = 3
/
ATOMIC_SPECIES
Zr 91.22 Zr.upf
Hf 178.49 Hf.upf
O 16.00 O.upf
CELL_PARAMETERS angstrom
5.9109 0.1645 -1.4843
-0.6143 5.3266 -1.8572
0.0383 -0.3384 7.6851
ATOMIC_POSITIONS angstrom
Zr 0.7346 1.3897 2.3534
Hf 4.3803 0.5812 -1.2727
Zr 5.1870 3.7561 -1.1677
Hf 0.9545 4.5716 5.6162
Zr 3.7884 0.6181 1.9088
Zr 2.9924 2.4335 4.4362
O 0.0192 -0.1692 3.8426
Zr 0.1479 1.3967 5.5112
Zr 4.6003 3.7631 1.9902
Zr 2.3425 2.7192 -0.0927
O 2.6674 2.5764 2.1718
Zr 1.5465 4.5346 2.4348
```

The uncorrected energy comes out at -9.086 eV per atom. Its uncorrected formation energy is -20.8 kcal/mol of atoms. As for the space-group type: C2/c, No. 15.